Compound: TlAgSb2
Source: the Alexandria database
Functional: GGA-PBEsol
Structure: relaxed

**Energy**: -0.1349 Ha/atom
**Spin magnetization**: 0.0 μB/cell
**Uncorrected formation energy**: 0.377 eV per formula unit

extended XYZ file:
```
4
Lattice="3.323 0.000 0.027 0.000 4.139 0.000 -0.061 0.000 7.348" Properties=species:S:1:pos:R:3 pbc="T T T"
Sb 3.278 0.000 5.176
Sb -0.016 0.000 2.199
Tl 1.662 2.070 0.013
Ag 1.631 2.070 3.687
```